HfCuBi: optimized geometry, GGA-PBE.

abc: 3.8677 3.8677 8.5896
angles: 90.00 90.00 90.00
Closest atoms and distances in Å follow each position.
Space group I4mm (No. 107)
Symmetry-distinct sites (fractional):
Hf 0.0000 0.0000 0.0000 (multiplicity 2)  5 Cu 2.88-3.08, 5 Bi 2.92-3.06
Cu 0.0000 0.0000 0.3350 (multiplicity 2)  5 Bi 2.79-3.12, 5 Hf 2.88-3.08
Bi 0.0000 0.0000 0.6600 (multiplicity 2)  5 Cu 2.79-3.12, 5 Hf 2.92-3.06

Output
The value obtained for the size of the total moment is 0.0 μB per cell. The formation energy comes out at 0.24 eV/atom. Its total DFT energy (no corrections) is -5.740 eV/atom.


TaTl2PbC: optimized geometry, GGA-PBE.

abc: 4.7021 4.7021 5.2462
angles: 90.00 90.00 90.00
Closest atoms and distances in Å follow each position.
Space group P4/mmm (No. 123)
Symmetry-distinct sites (fractional):
Ta 0.0000 0.0000 0.0000 (multiplicity 1)  4 Pb 3.32, 8 Tl 3.52
Tl 0.0000 0.5000 0.5000 (multiplicity 2)  2 C 2.35
Pb 0.5000 0.5000 0.0000 (multiplicity 1)  2 C 2.62
C 0.5000 0.5000 0.5000 (multiplicity 1)  4 Tl 2.35, 2 Pb 2.62

Output
The value obtained for the size of the total moment is 1.8 μB per cell. The value obtained for the relative energy among the computed polymorphs is 0.7158 eV/atom. The formation energy comes out at 1.64 eV/atom. Its total DFT energy (no corrections) is -4.264 eV/atom.


TlCrPS2: optimized geometry, GGA-PBE.

abc: 4.6379 4.6379 4.5565
angles: 90.00 90.00 90.00
Closest atoms and distances in Å follow each position.
Space group P4/mmm (No. 123)
Symmetry-distinct sites (fractional):
Tl 0.0000 0.0000 0.0000 (multiplicity 1)  8 S 3.25, 4 P 3.28
Cr 0.5000 0.5000 0.5000 (multiplicity 1)  2 P 2.28, 4 S 2.32
P 0.5000 0.5000 0.0000 (multiplicity 1)  2 Cr 2.28
S 0.0000 0.5000 0.5000 (multiplicity 2)  2 Cr 2.32

Output
The value obtained for the size of the total moment is 0.0 μB per cell. The value obtained for the relative energy among the computed polymorphs is 0.0000 eV/atom. Its formation energy from raw total energies is 0.1239 eV/atom. Its total DFT energy (no corrections) is -5.007 eV/atom.


MgCrPb2: optimized geometry, GGA-PBE.

abc: 9.4489 3.4980 6.0669
angles: 90.00 102.50 90.00
Closest atoms and distances in Å follow each position.
Space group C2/m (No. 12)
Symmetry-distinct sites (fractional):
Mg 0.0000 0.0000 0.0000 (multiplicity 2)  6 Pb 3.08-3.12
Cr 0.0000 0.5000 0.5000 (multiplicity 2)  6 Pb 3.01-3.07
Pb 0.2450 0.0000 0.7385 (multiplicity 4)  3 Cr 3.01-3.07, 3 Mg 3.08-3.12

Output
The value obtained for the size of the total moment is 7.9 μB per cell. The formation energy comes out at 0.29 eV/atom. Its total DFT energy (no corrections) is -4.367 eV/atom.